(1)
# ScAu2

A relaxed ScAu2 crystal (GGA-PBE, OQMD via LeMat-Bulk). Values from VASP.

Structure (Quantum ESPRESSO input):
```
&SYSTEM
  ibrav = 0, nat = 6, ntyp = 2
/
ATOMIC_SPECIES
Sc 44.96 Sc.upf
Au 196.97 Au.upf
CELL_PARAMETERS angstrom
0.000 3.875 3.875
3.875 0.000 3.875
3.875 3.875 0.000
ATOMIC_POSITIONS angstrom
Sc 0.969 0.969 0.969
Sc 6.782 6.782 6.782
Au 3.875 1.938 1.938
Au 1.938 3.875 1.938
Au 1.938 1.938 3.875
Au 3.875 3.875 3.875
```

Summary:
The value obtained for the uncorrected energy is -4.67 eV/atom. As for the total moment: 0.02 μB/cell.

(2)
# DyHoGa2Fe4

A relaxed DyHoGa2Fe4 crystal (GGA-PBE, OQMD via LeMat-Bulk). Values from VASP.

Structure (Quantum ESPRESSO input):
```
&SYSTEM
  ibrav = 0, nat = 8, ntyp = 4
/
ATOMIC_SPECIES
Dy 162.50 Dy.upf
Ho 164.93 Ho.upf
Ga 69.72 Ga.upf
Fe 55.84 Fe.upf
CELL_PARAMETERS angstrom
4.183 0.000 0.000
-2.091 3.623 0.000
0.000 0.000 9.271
ATOMIC_POSITIONS angstrom
Dy 0.000 0.000 0.000
Ho 2.091 1.208 4.636
Ga 0.000 2.415 2.324
Ga 0.000 2.415 6.947
Fe 0.000 0.000 2.722
Fe 0.000 0.000 6.550
Fe 2.091 1.208 1.930
Fe 2.091 1.208 7.341
```

Summary:
The value obtained for the uncorrected energy is -6.23 eV/atom. As for the total moment: 7.23 μB/cell.